Compound: K3CuF8
Source: Alexandria via LeMat-Bulk
Functional: PBE-GGA
Structure: relaxed

formation energy without anion corrections = -1878 meV/atom
relative energy among the computed polymorphs = 0 meV per atom
E_tot = -3.741 eV/atom

Cell: 6.4129 6.8831 6.4129 Å, 62.24 90.00 117.76°
Closest atoms and distances in Å follow each position.
Fractional coordinates of all 12 atoms:
K (0.7500, 0.5000, 0.7500)  4 F 2.61
K (0.2500, 0.5000, 0.2500)  4 F 2.61
K (0.5000, 0.0000, 0.5000)  8 F 2.64-2.74
Cu (0.0000, 0.0000, 0.0000)  4 F 1.79
F (0.3713, 0.5263, 0.8450)  1 F 1.96
F (0.1550, 0.5263, 0.6287)  1 F 1.96
F (0.6287, 0.4737, 0.3713)  1 F 1.96
F (0.8450, 0.4737, 0.1550)  1 F 1.96
F (0.7958, 0.9866, 0.8092)  1 Cu 1.79
F (0.1908, 0.9866, 0.2042)  1 Cu 1.79
F (0.2042, 0.0134, 0.7958)  1 Cu 1.79
F (0.8092, 0.0134, 0.1908)  1 Cu 1.79